Entry from Alexandria via LeMat-Bulk: a relaxed structure of PrV5 (PBE).

Lattice parameters (Å, degrees): 7.3249 7.3249 3.1270 90.00 90.00 144.43
Closest atoms and distances in Å follow each position.
Atoms (fractional coordinates):
Pr  0.0000  0.0000  0.0000  4 V 2.73
V  0.1912  0.8088  0.5000  6 V 2.45-2.74
V  0.3264  0.6736  0.0000  6 V 2.45-2.74
V  0.5000  0.5000  0.5000  4 Pr 2.73, 4 V 2.88
V  0.6736  0.3264  0.0000  6 V 2.45-2.74
V  0.8088  0.1912  0.5000  6 V 2.45-2.74

Values from the calculation:
E   -47.76 eV for the cell shown
Symmetry   Cmmm, No. 65
Total magnetic moment   0.00 μB/cell

Entry from Alexandria via LeMat-Bulk: a relaxed structure of PrYV (PBE).

Lattice parameters (Å, degrees): 5.0004 5.0004 7.3184 90.00 90.00 90.00
Closest atoms and distances in Å follow each position.
Atoms (fractional coordinates):
Pr  0.2500  0.2500  0.2296  4 V 3.19, 4 Y 3.55
Pr  0.7500  0.7500  0.7704  4 V 3.19, 4 Y 3.55
Y  0.2500  0.2500  0.7213  4 V 2.98
Y  0.7500  0.7500  0.2787  4 V 2.98
V  0.2500  0.7500  0.5000  4 Y 2.98, 4 Pr 3.19
V  0.7500  0.2500  0.5000  4 Y 2.98, 4 Pr 3.19

Values from the calculation:
E   -37.87 eV for the cell shown
Symmetry   P4/nmm, No. 129
Total magnetic moment   5.02 μB/cell

Entry from Alexandria via LeMat-Bulk: a relaxed structure of Pr2VZn (PBE).

Lattice parameters (Å, degrees): 11.0341 11.0341 11.0341 17.71 17.71 17.71
Closest atoms and distances in Å follow each position.
Atoms (fractional coordinates):
Pr  0.0909  0.0909  0.0909  1 V 2.96, 3 Zn 3.15
Pr  0.9091  0.9091  0.9091  1 V 2.96, 3 Zn 3.15
V  0.0000  0.0000  0.0000  2 Pr 2.96
Zn  0.5000  0.5000  0.5000  6 Pr 3.15, 6 Zn 3.40

Values from the calculation:
E   -17.49 eV for the cell shown
Symmetry   R-3m, No. 166
Total magnetic moment   3.61 μB/cell

Values of ΔH_f (0 K), in order: 0.44 0.48 0.62, all in eV/atom.